# Cr2InF8

Crystalline Cr2InF8 at its relaxed geometry (PBE with a Hubbard U, the Alexandria database).

Computed properties:
- Electronic total energy: -60.61 eV for the cell shown
- Distance to the lowest polymorph of the same formula: 0.000 eV/atom
- Magnetization: 7.0 μB/f.u.
- D(E_F): 2.7 states/eV per cell

a = 4.384 Å, b = 7.006 Å, c = 5.970 Å
α = 125.94°, β = 88.87°, γ = 90.00°
Each line ends with the local moment (μB).
Element x y z (fractional)
Cr1 0.251 0.380 0.760  3.41
Cr2 0.749 0.620 0.240  3.41
F1 0.250 0.589 0.179  -0.03
F2 0.750 0.411 0.821  -0.03
F3 0.759 0.888 0.215  0.00
F4 0.265 0.177 0.355  0.00
F5 0.241 0.674 0.785  0.00
F6 0.241 0.112 0.785  0.00
F7 0.735 0.823 0.645  0.00
F8 0.759 0.326 0.215  0.00
In1 0.000 0.000 0.000  0.00